Record 1
The following is a GGA-PBE calculation of a relaxed KBaAgBr4 crystal, from Alexandria.

The structure in CIF format:
```
data_KBaAgBr4
_symmetry_space_group_name_H-M 'P 1 21/m 1'
_symmetry_Int_Tables_number 11
_cell_length_a 7.608
_cell_length_b 7.588
_cell_length_c 9.253
_cell_angle_alpha 90.00
_cell_angle_beta 107.79
_cell_angle_gamma 90.00
loop_
_symmetry_equiv_pos_as_xyz
'x,y,z'
'-x,-y,-z'
'-x,y+1/2,-z'
'x,-y+1/2,z'
loop_
_atom_site_label
_atom_site_fract_x
_atom_site_fract_y
_atom_site_fract_z
_atom_site_occupancy
K1 0.237 0.250 0.056 1
Ba1 0.232 0.250 0.559 1
Ag1 0.246 0.750 0.309 1
Br1 0.014 0.510 0.737 1
Br2 0.445 0.750 0.120 1
Br3 0.448 0.750 0.606 1
```

Values from the calculation:
D(E_F)   0.00 states/eV per cell

---

Record 2
The following is a GGA-PBE calculation of a relaxed KBaAg2Br8 crystal, from Alexandria.

The structure in CIF format:
```
data_KBaAg2Br8
_symmetry_space_group_name_H-M 'I -4'
_symmetry_Int_Tables_number 82
_cell_length_a 7.836
_cell_length_b 7.836
_cell_length_c 13.477
_cell_angle_alpha 90.00
_cell_angle_beta 90.00
_cell_angle_gamma 90.00
loop_
_symmetry_equiv_pos_as_xyz
'x,y,z'
'y,-x,-z'
'-x,-y,z'
'-y,x,-z'
'x+1/2,y+1/2,z+1/2'
'y+1/2,-x+1/2,-z+1/2'
'-x+1/2,-y+1/2,z+1/2'
'-y+1/2,x+1/2,-z+1/2'
loop_
_atom_site_label
_atom_site_fract_x
_atom_site_fract_y
_atom_site_fract_z
_atom_site_occupancy
K1 0.000 0.000 0.000 1
Ba1 0.000 0.500 0.750 1
Ag1 0.000 0.000 0.500 1
Ag2 0.000 0.500 0.250 1
Br1 0.055 0.318 0.519 1
Br2 0.105 0.814 0.227 1
```

Values from the calculation:
D(E_F)   8.98 states/eV per cell

---

Record 3
The following is a GGA-PBE calculation of a relaxed K2BaAgBr5 crystal, from Alexandria.

The structure in CIF format:
```
data_K2BaAgBr5
_symmetry_space_group_name_H-M 'C m c 21'
_symmetry_Int_Tables_number 36
_cell_length_a 4.684
_cell_length_b 19.789
_cell_length_c 14.339
_cell_angle_alpha 90.00
_cell_angle_beta 90.00
_cell_angle_gamma 90.00
loop_
_symmetry_equiv_pos_as_xyz
'x,y,z'
'-x,-y,z+1/2'
'-x,y,z'
'x,-y,z+1/2'
'x+1/2,y+1/2,z'
'-x+1/2,-y+1/2,z+1/2'
'-x+1/2,y+1/2,z'
'x+1/2,-y+1/2,z+1/2'
loop_
_atom_site_label
_atom_site_fract_x
_atom_site_fract_y
_atom_site_fract_z
_atom_site_occupancy
K1 0.000 0.102 0.000 1
K2 0.000 0.115 0.666 1
Ba1 0.000 0.197 0.354 1
Ag1 0.000 0.451 0.747 1
Br1 0.000 0.033 0.341 1
Br2 0.000 0.291 0.008 1
Br3 0.000 0.311 0.697 1
Br4 0.000 0.357 0.335 1
Br5 0.000 0.492 0.080 1
```

Values from the calculation:
D(E_F)   0.00 states/eV per cell

---

Formation energy without anion corrections / eV per atom: -1.512, -0.867, -1.563